(1)
Compound: In4PPb
Source: Alexandria via LeMat-Bulk
Functional: SCAN
Structure: PBEsol geometry

Computed properties:
- N(E_F) (states/eV/cell) = 12.2
- DFT total energy (Ry/atom) = -2.6605
- formation energy (eV/atom) = 0.423
- total moment (μB per formula unit) = 0.000

abc: 8.493 8.493 8.493
angles: 90.00 90.00 90.00
Space group F-43m (No. 216)
Symmetry-distinct sites (fractional):
1 In 0.125 0.125 0.125 x16
2 P 0.000 0.000 0.500 x4
3 Pb 0.250 0.250 0.750 x4

***

(2)
Compound: TlTePt
Source: Alexandria via LeMat-Bulk
Functional: SCAN
Structure: PBEsol geometry

Computed properties:
- E_form (uncorrected) (eV per atom) = -0.11
- N(E_F) (states/eV/cell) = 6.9
- DFT total energy (Ry/atom) = -4.4128
- total moment (μB per formula unit) = 0.000

abc: 6.608 6.608 6.608
angles: 90.00 90.00 90.00
Space group F-43m (No. 216)
Symmetry-distinct sites (fractional):
1 Tl 0.000 0.000 0.000 x4
2 Te 0.000 0.000 0.500 x4
3 Pt 0.250 0.250 0.750 x4

***

(3)
Compound: CaTa2ZnW
Source: Alexandria via LeMat-Bulk
Functional: SCAN
Structure: PBEsol geometry

Computed properties:
- N(E_F) (states/eV/cell) = 3.4
- DFT total energy (Ry/atom) = -3.1191
- formation energy (eV/atom) = 2.770
- total moment (μB per formula unit) = 0.000

abc: 4.579 4.579 4.519
angles: 90.00 90.00 90.00
Space group P4/mmm (No. 123)
Symmetry-distinct sites (fractional):
1 Ca 0.000 0.000 0.000 x1
2 Ta 0.000 0.500 0.000 x2
3 Zn 0.000 0.000 0.500 x1
4 W 0.500 0.500 0.500 x1

***

(4)
Compound: Co3Ir
Source: Alexandria via LeMat-Bulk
Functional: SCAN
Structure: PBEsol geometry

Computed properties:
- N(E_F) (states/eV/cell) = 11.3
- DFT total energy (Ry/atom) = -2.2553
- formation energy (eV/atom) = 0.068
- total moment (μB per formula unit) = 6.252

abc: 2.5730 2.5730 24.3268
angles: 90.00 90.00 120.00
Space group R-3m (No. 166, hexagonal axes)
Symmetry-distinct sites (fractional):
1 Co 0.0000 0.0000 0.0000 x3
2 Co 0.0000 0.0000 0.2541 x6
3 Ir 0.0000 0.0000 0.5000 x3